A plane-wave DFT calculation with GGA-PBE was carried out for Cr3Fe after structural relaxation.

Geometry as POSCAR:
```
Cr3Fe
1.0
2.872 0.000 0.000
0.000 4.013 0.000
0.000 0.000 7.926
Cr Fe
6 2
Direct
0.000 0.000 0.000
0.000 0.500 0.256
0.000 0.500 0.744
0.500 0.000 0.244
0.500 0.000 0.756
0.500 0.500 0.500
0.000 0.000 0.500
0.500 0.500 0.000
```

Properties
Energy relative to the elements: 89 meV per atom



A plane-wave DFT calculation with GGA-PBE was carried out for Co3RuBr9 after structural relaxation.

Geometry as POSCAR:
```
Co3RuBr9
1.0
8.754 -4.544 0.000
8.754 4.544 0.000
-7.779 0.000 10.090
Co Ru Br
6 2 18
Direct
0.045 0.955 0.500
0.279 0.505 0.589
0.505 0.279 0.089
0.557 0.718 0.452
0.718 0.557 0.952
0.955 0.045 0.000
0.037 0.488 0.771
0.488 0.037 0.271
0.021 0.740 0.515
0.046 0.189 0.704
0.049 0.772 0.833
0.147 0.360 0.583
0.189 0.046 0.204
0.248 0.796 0.384
0.355 0.391 0.913
0.360 0.147 0.083
0.391 0.355 0.413
0.450 0.660 0.784
0.581 0.959 0.470
0.617 0.712 0.137
0.660 0.450 0.284
0.712 0.617 0.637
0.740 0.021 0.015
0.772 0.049 0.333
0.796 0.248 0.884
0.959 0.581 0.970
```

Properties
ΔE_f (raw): -2.76 eV/f.u.



A plane-wave DFT calculation with GGA-PBE was carried out for NiPPt after structural relaxation.

Geometry as POSCAR:
```
NiPPt
1.0
3.869 0.000 0.000
0.000 4.829 0.000
-0.066 0.000 4.534
Ni P Pt
2 2 2
Direct
0.000 0.249 0.000
0.000 0.751 0.000
0.493 0.000 0.962
0.975 0.500 0.410
0.475 0.500 0.703
0.734 0.000 0.472
```

Properties
Energy relative to the elements: -407 meV per atom



A plane-wave DFT calculation with GGA-PBE was carried out for CeDyHgRu after structural relaxation.

Geometry as POSCAR:
```
CeDyHgRu
1.0
3.398 0.000 0.000
0.000 3.398 0.000
0.000 0.000 8.055
Ce Dy Hg Ru
1 1 1 1
Direct
0.000 0.000 0.000
0.000 0.000 0.571
0.500 0.500 0.297
0.500 0.500 0.786
```

Properties
Energy relative to the elements: -408 meV per atom
Excess energy over the best structure of this formula in the dataset: 0.0 meV per atom